# 1
A plane-wave DFT calculation with PBE was carried out for GdYIrRu after structural relaxation.

Cell: 4.8556 4.8556 4.8556 Å, 60.00 60.00 60.00°
Each line ends with the local moment (μB).
Sites, in units of the cell vectors:
Y  0.5000  0.5000  0.5000  0.02
Ru  0.2500  0.2500  0.2500  -0.05
Gd  0.0000  0.0000  0.0000  7.00
Ir  0.7500  0.7500  0.7500  -0.03

Formation enthalpy at 0 K = -0.540 eV per atom
Final energy = -10.2106 eV per atom
Space group = F-43m, No. 216
Total magnetic moment = 1.769 μB/atom
Volume = 20.24 Å³/atom
Density = 11.07 Mg/m³

---

# 2
A plane-wave DFT calculation with PBE was carried out for GdZrIrRu after structural relaxation.

Cell: 4.7594 4.7594 4.7594 Å, 60.00 60.00 60.00°
Each line ends with the local moment (μB).
Sites, in units of the cell vectors:
Zr  0.5000  0.5000  0.5000  0.05
Ru  0.7500  0.7500  0.7500  -0.13
Ir  0.2500  0.2500  0.2500  -0.06
Gd  0.0000  0.0000  0.0000  7.00

Formation enthalpy at 0 K = -0.587 eV per atom
Final energy = -10.7786 eV per atom
Space group = F-43m, No. 216
Total magnetic moment = 1.747 μB/atom
Volume = 19.06 Å³/atom
Density = 11.80 Mg/m³

---

# 3
A plane-wave DFT calculation with PBE was carried out for Gd2SbIr after structural relaxation.

Cell: 4.8266 4.8266 5.6578 Å, 64.75 64.75 60.00°
Each line ends with the local moment (μB).
Sites, in units of the cell vectors:
Gd  0.7592  0.7592  0.7223  -7.00
Sb  0.0000  0.0000  0.0000  0.07
Ir  0.5000  0.5000  0.5000  0.15
Gd  0.2408  0.2408  0.2777  -7.00

Final energy = -10.9709 eV per atom
Space group = R-3m, No. 166
Energy relative to the lowest polymorph listed for this composition = 112.6 meV/atom
Uncorrected formation energy = -0.68 eV/atom
Total magnetic moment = 3.501 μB/atom
Volume = 24.83 Å³/atom
Density = 10.51 Mg/m³

---

# 4
A plane-wave DFT calculation with PBE was carried out for GdSbIr4 after structural relaxation.

Cell: 5.3585 5.3585 5.3585 Å, 60.00 60.00 60.00°
Each line ends with the local moment (μB).
Sites, in units of the cell vectors:
Gd  0.2500  0.2500  0.2500  6.93
Ir  0.6254  0.6254  0.6254  -0.03
Ir  0.6254  0.6254  0.1239  -0.03
Sb  0.0000  0.0000  0.0000  0.00
Ir  0.6254  0.1239  0.6254  -0.03
Ir  0.1239  0.6254  0.6254  -0.03

Final energy = -9.2189 eV per atom
Space group = F-43m, No. 216
Uncorrected formation energy = -0.28 eV/atom
Total magnetic moment = 1.152 μB/atom
Volume = 18.13 Å³/atom
Density = 15.99 Mg/m³